Record 1
Entry from Alexandria: an optimized crystal structure of Ti2SiMo (GGA-PBE).

```
data_Ti2SiMo
_cell_length_a 7.262
_cell_length_b 7.262
_cell_length_c 4.996
_cell_angle_alpha 90.00
_cell_angle_beta 90.00
_cell_angle_gamma 90.00
_symmetry_space_group_name_H-M 'I -4 2 d'
_symmetry_Int_Tables_number 122
_symmetry_space_group_name_Hall 'I -4 2bw'
loop_
_atom_site_label
_atom_site_fract_x
_atom_site_fract_y
_atom_site_fract_z
_atom_site_occupancy
Ti1 0.224 0.250 0.125 1
Si1 0.000 0.000 0.000 1
Mo1 0.000 0.000 0.500 1
```

Values from the calculation:
Density of states at the Fermi level, states/eV/f.u.: 3.4
Volume, A^3/atom: 16.5

---

Record 2
Entry from Alexandria: an optimized crystal structure of Ti2SiMo (GGA-PBE).

```
data_Ti2SiMo
_cell_length_a 4.228
_cell_length_b 4.228
_cell_length_c 3.376
_cell_angle_alpha 90.00
_cell_angle_beta 90.00
_cell_angle_gamma 90.00
_symmetry_space_group_name_H-M 'P 4/m m m'
_symmetry_Int_Tables_number 123
_symmetry_space_group_name_Hall '-P 4 2'
loop_
_atom_site_label
_atom_site_fract_x
_atom_site_fract_y
_atom_site_fract_z
_atom_site_occupancy
Ti1 0.000 0.500 0.000 1
Si1 0.000 0.000 0.500 1
Mo1 0.500 0.500 0.500 1
```

Values from the calculation:
Density of states at the Fermi level, states/eV/f.u.: 1.3
Volume, A^3/atom: 15.1

---

Record 3
Entry from Alexandria: an optimized crystal structure of Ti2Si4Mo (GGA-PBE).

```
data_Ti2Si4Mo
_cell_length_a 4.622
_cell_length_b 4.622
_cell_length_c 12.504
_cell_angle_alpha 90.00
_cell_angle_beta 90.00
_cell_angle_gamma 90.00
_symmetry_space_group_name_H-M 'I 4/m m m'
_symmetry_Int_Tables_number 139
_symmetry_space_group_name_Hall '-I 4 2'
loop_
_atom_site_label
_atom_site_fract_x
_atom_site_fract_y
_atom_site_fract_z
_atom_site_occupancy
Ti1 0.000 0.000 0.104 1
Si1 0.000 0.000 0.303 1
Si2 0.000 0.500 0.000 1
Mo1 0.000 0.000 0.500 1
```

Values from the calculation:
Density of states at the Fermi level, states/eV/f.u.: 6.0
Volume, A^3/atom: 19.1

---

Record 4
Entry from Alexandria: an optimized crystal structure of TiSi4Mo2 (GGA-PBE).

```
data_TiSi4Mo2
_cell_length_a 4.596
_cell_length_b 4.596
_cell_length_c 12.454
_cell_angle_alpha 90.00
_cell_angle_beta 90.00
_cell_angle_gamma 90.00
_symmetry_space_group_name_H-M 'I 4/m m m'
_symmetry_Int_Tables_number 139
_symmetry_space_group_name_Hall '-I 4 2'
loop_
_atom_site_label
_atom_site_fract_x
_atom_site_fract_y
_atom_site_fract_z
_atom_site_occupancy
Ti1 0.000 0.000 0.000 1
Si1 0.000 0.000 0.197 1
Si2 0.000 0.500 0.000 1
Mo1 0.000 0.000 0.401 1
```

Values from the calculation:
Density of states at the Fermi level, states/eV/f.u.: 6.9
Volume, A^3/atom: 18.8

---

Per-record raw formation energy, meV/atom: 199 -505 270 620